The following is a DFT calculation (GGA+U) of a relaxed CoH12SO10 crystal.

```
data_CoH12SO10
_symmetry_space_group_name_H-M 'P 1'
_symmetry_Int_Tables_number 1
_cell_length_a 5.9859
_cell_length_b 5.9859
_cell_length_c 23.1810
_cell_angle_alpha 96.63
_cell_angle_beta 96.63
_cell_angle_gamma 73.28
loop_
_symmetry_equiv_pos_as_xyz
'x,y,z'
loop_
_atom_site_label
_atom_site_fract_x
_atom_site_fract_y
_atom_site_fract_z
Co1 0.0000 0.0000 0.0000
Co2 0.0000 0.0000 0.5000
Co3 0.0581 0.9419 0.7500
Co4 0.9419 0.0581 0.2500
H1 0.0006 0.6724 0.6523
H2 0.0330 0.6369 0.4239
H3 0.0581 0.5021 0.7639
H4 0.0600 0.6995 0.9025
H5 0.0659 0.3569 0.9483
H6 0.0690 0.2832 0.6891
H7 0.1032 0.2233 0.8469
H8 0.1939 0.6619 0.2972
H9 0.2233 0.1032 0.3469
H10 0.2579 0.7027 0.5688
H11 0.2627 0.3089 0.0033
H12 0.2832 0.0690 0.1891
H13 0.2830 0.5524 0.8017
H14 0.2968 0.6243 0.4481
H15 0.2973 0.7421 0.9312
H16 0.3005 0.9400 0.5975
H17 0.3089 0.2627 0.5033
H18 0.3276 0.9994 0.8477
H19 0.3381 0.8061 0.2028
H20 0.3569 0.0659 0.4483
H21 0.3631 0.9670 0.0761
H22 0.3757 0.7032 0.0519
H23 0.4476 0.7170 0.6983
H24 0.4979 0.9419 0.7361
H25 0.5021 0.0581 0.2639
H26 0.5524 0.2830 0.3017
H27 0.6243 0.2968 0.9481
H28 0.6369 0.0330 0.9239
H29 0.6431 0.9341 0.5517
H30 0.6619 0.1939 0.7972
H31 0.6724 0.0006 0.1523
H32 0.6911 0.7373 0.4967
H33 0.6995 0.0600 0.4025
H34 0.7027 0.2579 0.0688
H35 0.7032 0.3757 0.5519
H36 0.7170 0.4476 0.1983
H37 0.7168 0.9310 0.8109
H38 0.7373 0.6911 0.9967
H39 0.7421 0.2973 0.4312
H40 0.7767 0.8968 0.6531
H41 0.8061 0.3381 0.7028
H42 0.8968 0.7767 0.1531
H43 0.9310 0.7168 0.3109
H44 0.9341 0.6431 0.0517
H45 0.9400 0.3005 0.0975
H46 0.9419 0.4979 0.2361
H47 0.9670 0.3631 0.5761
H48 0.9994 0.3276 0.3477
S1 0.3244 0.4228 0.1226
S2 0.4228 0.3244 0.6226
S3 0.5772 0.6756 0.3774
S4 0.6756 0.5772 0.8774
O1 0.0299 0.7191 0.2793
O2 0.0675 0.5330 0.1164
O3 0.1034 0.2098 0.3223
O4 0.1219 0.6273 0.7854
O5 0.1284 0.8219 0.9228
O6 0.1340 0.6623 0.4593
O7 0.1358 0.2567 0.9802
O8 0.1729 0.3729 0.6342
O9 0.1781 0.8716 0.5772
O10 0.2098 0.1034 0.8223
O11 0.2567 0.1358 0.4802
O12 0.2809 0.9701 0.2207
O13 0.3377 0.8660 0.0407
O14 0.3729 0.1729 0.1342
O15 0.3727 0.8781 0.7146
O16 0.4222 0.4273 0.0662
O17 0.4273 0.4222 0.5662
O18 0.4362 0.5481 0.1706
O19 0.4519 0.5638 0.3294
O20 0.4670 0.9325 0.3836
O21 0.5330 0.0675 0.6164
O22 0.5481 0.4362 0.6706
O23 0.5638 0.4519 0.8294
O24 0.5727 0.5778 0.4338
O25 0.5778 0.5727 0.9338
O26 0.6273 0.1219 0.2854
O27 0.6271 0.8271 0.8658
O28 0.6623 0.1340 0.9593
O29 0.7191 0.0299 0.7793
O30 0.7433 0.8642 0.5198
O31 0.7902 0.8966 0.1777
O32 0.8219 0.1284 0.4228
O33 0.8271 0.6271 0.3658
O34 0.8642 0.7433 0.0198
O35 0.8660 0.3377 0.5407
O36 0.8716 0.1781 0.0772
O37 0.8781 0.3727 0.2146
O38 0.8966 0.7902 0.6777
O39 0.9325 0.4670 0.8836
O40 0.9701 0.2809 0.7207
```

## Properties
Its magnetic moment is 0.125 μB per atom. Its space-group type is C2/c (15). For the total DFT energy (no corrections), the calculation gives -5.24 eV per atom.